MgGaCoPd | OQMD via LeMat-Bulk | PBE-GGA | optimized geometry; E = -18.40 eV/cell; symmetry = F-43m, No. 216
1.0
0.0000 3.0265 3.0265
3.0265 0.0000 3.0265
3.0265 3.0265 0.0000
Co Ga Mg Pd
1 1 1 1
Cartesian
4.5397 4.5397 4.5397
0.0000 0.0000 0.0000
3.0265 3.0265 3.0265
1.5133 1.5133 1.5133


MgGaCoRe | OQMD via LeMat-Bulk | PBE-GGA | optimized geometry; E = -22.84 eV/cell; symmetry = F-43m, No. 216
1.0
-3.1535 -2.7773 -1.0080
-3.9173 1.4755 -1.0732
-1.3821 -0.3108 -4.0825
Co Ga Mg Re
1 1 1 1
Cartesian
-6.3397 -1.2094 -4.6228
0.0000 0.0000 0.0000
-2.1132 -0.4031 -1.5409
-4.2265 -0.8062 -3.0819